! LaCo5H4 | Alexandria | PBE | relaxed; values from VASP
&SYSTEM
  ibrav = 0, nat = 10, ntyp = 3
/
ATOMIC_SPECIES
La 138.91 La.upf
Co 58.93 Co.upf
H 1.01 H.upf
CELL_PARAMETERS angstrom
2.6932 -4.4002 0.0000
2.6932 4.4002 0.0000
0.0000 0.0000 4.1020
ATOMIC_POSITIONS angstrom
La 0.0000 0.0000 0.0000
Co 1.3466 2.2001 2.1023
Co 2.6932 1.1940 0.0885
Co 1.3466 -2.2001 2.1023
Co 2.6932 0.0000 2.1194
Co 2.6932 -1.1940 0.0885
H 1.3466 2.2001 3.8562
H 2.6932 3.1296 2.0360
H 1.3466 -2.2001 3.8562
H 2.6932 -3.1296 2.0360
! Total magnetization   6.12 Bohr magnetons per cell
! Raw total energy   -5.501 eV/atom
! Space group   Cmm2 (35)


! La4CoH2 | Alexandria | PBE | relaxed; values from VASP
&SYSTEM
  ibrav = 0, nat = 7, ntyp = 3
/
ATOMIC_SPECIES
La 138.91 La.upf
Co 58.93 Co.upf
H 1.01 H.upf
CELL_PARAMETERS angstrom
-2.5944 2.5944 6.4319
2.5944 -2.5944 6.4319
2.5944 2.5944 -6.4319
ATOMIC_POSITIONS angstrom
La 2.5944 0.0000 0.0000
La 0.0000 0.0000 3.0653
La 0.0000 2.5944 0.0000
La 0.0000 0.0000 9.7986
Co 0.0000 0.0000 0.0000
H 0.0000 0.0000 5.4396
H 0.0000 0.0000 7.4243
! Total magnetization   0.01 Bohr magnetons per cell
! Raw total energy   -4.917 eV/atom
! Space group   I4/mmm (139)